LiHfB3 | GGA-PBEsol | optimized geometry

Calculated values
V = 48.1 Å³/f.u.
DFT formation energy = 4.53 eV per formula unit
size of the total moment = 0.00 μB per formula unit

a = 3.6362 Å, b = 3.6362 Å, c = 3.6362 Å
α = 90.00°, β = 90.00°, γ = 90.00°
Sites, in units of the cell vectors:
B1 0.0000 0.5000 0.0000
B2 0.0000 0.0000 0.5000
B3 0.5000 0.0000 0.0000
Hf1 0.5000 0.5000 0.5000
Li1 0.0000 0.0000 0.0000